1.
13
Lattice="7.8472 -4.3618 0.0000 7.8472 4.3618 0.0000 -2.5149 0.0000 6.9965" Properties=species:S:1:pos:R:3 comment="Tl2Pb3Cl8, relaxed, DFT GGA-PBE" total_magnetization_mub_per_fu=0.00 relative_energy_ev_per_fu=0.000 pbc="T T T"
Tl 3.1486 0.0000 1.1045
Tl 10.0308 0.0000 5.8920
Pb 6.5897 2.2745 3.4982
Pb 7.8472 0.0000 0.0000
Pb 6.5897 -2.2745 3.4982
Cl 0.6447 0.0000 3.0929
Cl 5.8323 1.9899 0.6885
Cl 7.3472 1.9899 6.3080
Cl 4.6827 0.0000 4.1331
Cl 8.4967 0.0000 2.8634
Cl 5.8323 -1.9899 0.6885
Cl 7.3472 -1.9899 6.3080
Cl 12.5347 0.0000 3.9036

2.
10
Lattice="8.6716 0.0000 0.0000 0.0000 8.6716 0.0000 0.0000 0.0000 4.0714" Properties=species:S:1:pos:R:3 comment="Tl2PbCl2, relaxed, DFT GGA-PBE" total_magnetization_mub_per_fu=0.00 relative_energy_ev_per_fu=0.000 pbc="T T T"
Tl 1.3690 2.9668 0.0000
Tl 2.9668 7.3026 0.0000
Tl 5.7049 1.3690 0.0000
Tl 7.3026 5.7049 0.0000
Pb 0.0000 0.0000 2.0357
Pb 4.3358 4.3358 2.0357
Cl 1.3068 5.6426 2.0357
Cl 3.0290 1.3068 2.0357
Cl 5.6426 7.3648 2.0357
Cl 7.3648 3.0290 2.0357

3.
5
Lattice="-2.1399 2.1399 8.5761 2.1399 -2.1399 8.5761 2.1399 2.1399 -8.5761" Properties=species:S:1:pos:R:3 comment="Tl2PbCl2, relaxed, DFT GGA-PBE" total_magnetization_mub_per_fu=0.00 relative_energy_ev_per_fu=0.978 pbc="T T T"
Tl 2.1399 0.0000 4.2881
Tl 0.0000 2.1399 4.2881
Pb 0.0000 0.0000 0.0000
Cl 0.0000 0.0000 6.9877
Cl 0.0000 0.0000 10.1645

4.
24
Lattice="13.5854 -3.7978 0.0000 13.5854 3.7978 0.0000 0.0000 0.0000 8.1000" Properties=species:S:1:pos:R:3 comment="Tl3Pb2Cl7, relaxed, DFT GGA-PBE" total_magnetization_mub_per_fu=0.00 pbc="T T T"
Tl 8.3869 1.9463 2.8461
Tl 13.5854 2.0642 4.0500
Tl 18.7838 1.9463 2.8461
Tl 8.3869 -1.9463 6.8961
Tl 13.5854 -2.0642 0.0000
Tl 18.7838 -1.9463 6.8961
Pb 10.8272 1.8785 7.5323
Pb 16.3436 1.8785 7.5323
Pb 10.8272 -1.8785 3.4823
Pb 16.3436 -1.8785 3.4823
Cl 2.1233 0.4648 5.9690
Cl 5.4813 1.1039 3.7911
Cl 2.1233 -0.4648 1.9190
Cl 10.1678 0.4537 5.1071
Cl 5.4813 -1.1039 7.8411
Cl 13.5854 0.9296 7.1303
Cl 10.1678 -0.4537 1.0571
Cl 17.0029 0.4537 5.1071
Cl 13.5854 -0.9296 3.0803
Cl 21.6895 1.1039 3.7911
Cl 17.0029 -0.4537 1.0571
Cl 25.0474 0.4648 5.9690
Cl 21.6895 -1.1039 7.8411
Cl 25.0474 -0.4648 1.9190

Number 1: V 36.84 Å³ per atom, final energy -3.479 eV per atom. Number 2: V 30.62 Å³ per atom, final energy -2.975 eV per atom. Number 3: V 31.42 Å³ per atom, final energy -2.779 eV per atom. Number 4: V 34.83 Å³ per atom, final energy -3.383 eV per atom.